1.
# LiTeMo

A geometry-optimized LiTeMo structure (PBE, Alexandria).

The structure in CIF format:
```
data_LiTeMo
_cell_length_a 3.428
_cell_length_b 3.428
_cell_length_c 8.695
_cell_angle_alpha 90.00
_cell_angle_beta 90.00
_cell_angle_gamma 90.00
_symmetry_space_group_name_H-M 'I 4 m m'
_symmetry_Int_Tables_number 107
_symmetry_space_group_name_Hall 'I 4 -2'
loop_
_atom_site_label
_atom_site_type_symbol
_atom_site_fract_x
_atom_site_fract_y
_atom_site_fract_z
Li1 Li 0.000 0.000 0.000
Te1 Te 0.000 0.000 0.330
Mo1 Mo 0.000 0.000 0.670
```

Properties
ΔE to the lowest computed polymorph   0.000 eV/atom

---

2.
# LiTe2Mo

A geometry-optimized LiTe2Mo structure (PBE, Alexandria).

The structure in CIF format:
```
data_LiTe2Mo
_cell_length_a 3.517
_cell_length_b 5.527
_cell_length_c 4.438
_cell_angle_alpha 90.00
_cell_angle_beta 90.26
_cell_angle_gamma 90.00
_symmetry_space_group_name_H-M 'P 1 m 1'
_symmetry_Int_Tables_number 6
loop_
_symmetry_equiv_pos_as_xyz
'x,y,z'
'x,-y,z'
loop_
_atom_site_label
_atom_site_type_symbol
_atom_site_fract_x
_atom_site_fract_y
_atom_site_fract_z
Li1 Li 0.000 0.000 0.000
Te1 Te 0.003 0.500 0.123
Te2 Te 0.499 0.000 0.520
Mo1 Mo 0.499 0.500 0.664
```

Properties
ΔE to the lowest computed polymorph   0.167 eV/atom

---

3.
# LiTe2Mo

A geometry-optimized LiTe2Mo structure (PBE, Alexandria).

The structure in CIF format:
```
data_LiTe2Mo
_cell_length_a 10.103
_cell_length_b 3.478
_cell_length_c 4.743
_cell_angle_alpha 90.00
_cell_angle_beta 92.02
_cell_angle_gamma 90.00
_symmetry_space_group_name_H-M 'C 1 m 1'
_symmetry_Int_Tables_number 8
loop_
_symmetry_equiv_pos_as_xyz
'x,y,z'
'x,-y,z'
'x+1/2,y+1/2,z'
'x+1/2,-y+1/2,z'
loop_
_atom_site_label
_atom_site_type_symbol
_atom_site_fract_x
_atom_site_fract_y
_atom_site_fract_z
Li1 Li 0.000 0.000 0.000
Te1 Te 0.044 0.500 0.518
Te2 Te 0.269 0.000 0.023
Mo1 Mo 0.335 0.500 0.470
```

Properties
ΔE to the lowest computed polymorph   0.105 eV/atom

---

4.
# LiTeMo

A geometry-optimized LiTeMo structure (PBE, Alexandria).

The structure in CIF format:
```
data_LiTeMo
_cell_length_a 3.3037
_cell_length_b 3.3037
_cell_length_c 6.6634
_cell_angle_alpha 90.00
_cell_angle_beta 90.00
_cell_angle_gamma 120.00
_symmetry_space_group_name_H-M 'P 3 m 1'
_symmetry_Int_Tables_number 156
loop_
_symmetry_equiv_pos_as_xyz
'x,y,z'
'-y,x-y,z'
'-x+y,-x,z'
'-y,-x,z'
'-x+y,y,z'
'x,x-y,z'
loop_
_atom_site_label
_atom_site_type_symbol
_atom_site_fract_x
_atom_site_fract_y
_atom_site_fract_z
Li1 Li 0.0000 0.0000 0.0000
Te1 Te 0.3333 0.6667 0.6164
Mo1 Mo 0.6667 0.3333 0.3361
```

Properties
ΔE to the lowest computed polymorph   0.233 eV/atom

---

5.
# LiTe2Mo

A geometry-optimized LiTe2Mo structure (PBE, Alexandria).

The structure in CIF format:
```
data_LiTe2Mo
_cell_length_a 6.505
_cell_length_b 6.505
_cell_length_c 11.747
_cell_angle_alpha 90.00
_cell_angle_beta 90.00
_cell_angle_gamma 90.00
_symmetry_space_group_name_H-M 'I -4 2 d'
_symmetry_Int_Tables_number 122
_symmetry_space_group_name_Hall 'I -4 2bw'
loop_
_atom_site_label
_atom_site_type_symbol
_atom_site_fract_x
_atom_site_fract_y
_atom_site_fract_z
Li1 Li 0.000 0.000 0.000
Te1 Te 0.234 0.250 0.625
Mo1 Mo 0.000 0.000 0.500
```

Properties
ΔE to the lowest computed polymorph   0.202 eV/atom

---

6.
# LiTe2Mo

A geometry-optimized LiTe2Mo structure (PBE, Alexandria).

The structure in CIF format:
```
data_LiTe2Mo
_cell_length_a 4.054
_cell_length_b 4.054
_cell_length_c 10.752
_cell_angle_alpha 90.00
_cell_angle_beta 90.00
_cell_angle_gamma 90.00
_symmetry_space_group_name_H-M 'I -4 m 2'
_symmetry_Int_Tables_number 119
_symmetry_space_group_name_Hall 'I -4 -2'
loop_
_atom_site_label
_atom_site_type_symbol
_atom_site_fract_x
_atom_site_fract_y
_atom_site_fract_z
Li1 Li 0.000 0.000 0.000
Te1 Te 0.000 0.000 0.500
Te2 Te 0.000 0.500 0.250
Mo1 Mo 0.000 0.500 0.750
```

Properties
ΔE to the lowest computed polymorph   0.418 eV/atom

---

7.
# LiTe4Mo

A geometry-optimized LiTe4Mo structure (PBE, Alexandria).

The structure in CIF format:
```
data_LiTe4Mo
_cell_length_a 9.041
_cell_length_b 9.041
_cell_length_c 9.041
_cell_angle_alpha 90.00
_cell_angle_beta 90.00
_cell_angle_gamma 90.00
_symmetry_space_group_name_H-M 'F -4 3 m'
_symmetry_Int_Tables_number 216
_symmetry_space_group_name_Hall 'F -4 2 3'
loop_
_atom_site_label
_atom_site_type_symbol
_atom_site_fract_x
_atom_site_fract_y
_atom_site_fract_z
Li1 Li 0.000 0.000 0.000
Te1 Te 0.125 0.125 0.375
Mo1 Mo 0.250 0.250 0.750
```

---

8.
# LiTe2Mo

A geometry-optimized LiTe2Mo structure (PBE, Alexandria).

The structure in CIF format:
```
data_LiTe2Mo
_cell_length_a 3.560
_cell_length_b 3.560
_cell_length_c 7.513
_cell_angle_alpha 90.00
_cell_angle_beta 90.00
_cell_angle_gamma 90.00
_symmetry_space_group_name_H-M 'P 4 m m'
_symmetry_Int_Tables_number 99
loop_
_symmetry_equiv_pos_as_xyz
'x,y,z'
'-y,x,z'
'-x,-y,z'
'y,-x,z'
'-x,y,z'
'y,x,z'
'x,-y,z'
'-y,-x,z'
loop_
_atom_site_label
_atom_site_type_symbol
_atom_site_fract_x
_atom_site_fract_y
_atom_site_fract_z
Li1 Li 0.000 0.000 0.000
Te1 Te 0.000 0.000 0.373
Te2 Te 0.500 0.500 0.856
Mo1 Mo 0.500 0.500 0.211
```

Properties
ΔE to the lowest computed polymorph   0.097 eV/atom

---

Here are the calculated ΔE_f (raw) numbers, same order: 0.07 -0.03 -0.10 0.30 0.00 0.22 0.78 -0.10 (eV/atom).
Here are the calculated M_tot numbers, same order: 1.786 0.313 0.013 0.782 8.745 5.277 20.163 0.000 (Bohr magnetons per cell).